A plane-wave DFT calculation with GGA-PBE was carried out for a geometry-optimized CsAl3O structure.

Values from the calculation:
* DFT total energy: -3.083 eV per atom
* E_form (uncorrected): 1.63 eV per formula unit
* symmetry: Pm-3m
* energy above the lowest structure with this stoichiometry: 0.000 eV/f.u.
* total magnetization: 0.00 μB per cell

abc: 4.936 4.936 4.936
angles: 90.00 90.00 90.00
Fractional coordinates of all 5 atoms:
Al 0.000 0.500 0.000
Al 0.000 0.000 0.500
Al 0.500 0.000 0.000
O 0.000 0.000 0.000
Cs 0.500 0.500 0.500